--- i ---
## Pm2SiBi (GGA-PBE)

Data for an optimized crystal structure of Pm2SiBi.

Properties
- N(E_F) (states/eV/cell) = 7.51

CIF file:
```
data_Pm2SiBi
_space_group_name_H-M_alt 'R -3 m'
_space_group_IT_number 166
_space_group_name_Hall '-R 3 2"'
_cell_length_a 4.3079
_cell_length_b 4.3079
_cell_length_c 22.4830
_cell_angle_alpha 90.00
_cell_angle_beta 90.00
_cell_angle_gamma 120.00
loop_
_atom_site_label
_atom_site_fract_x
_atom_site_fract_y
_atom_site_fract_z
Pm1 0.0000 0.0000 0.2412
Si1 0.0000 0.0000 0.5000
Bi1 0.0000 0.0000 0.0000
```

***

--- ii ---
## Pm2SiBi (GGA-PBE)

Data for an optimized crystal structure of Pm2SiBi.

Properties
- N(E_F) (states/eV/cell) = 24.15

CIF file:
```
data_Pm2SiBi
_space_group_name_H-M_alt 'F m -3 m'
_space_group_IT_number 225
_space_group_name_Hall '-F 4 2 3'
_cell_length_a 7.629
_cell_length_b 7.629
_cell_length_c 7.629
_cell_angle_alpha 90.00
_cell_angle_beta 90.00
_cell_angle_gamma 90.00
loop_
_atom_site_label
_atom_site_fract_x
_atom_site_fract_y
_atom_site_fract_z
Pm1 0.250 0.250 0.250
Si1 0.000 0.000 0.000
Bi1 0.000 0.000 0.500
```

***

Stability verdict: i, ahead by 0.268 eV/atom

***

--- i ---
## Pm4SiBi2 (GGA-PBE)

Data for an optimized crystal structure of Pm4SiBi2.

Properties
- N(E_F) (states/eV/cell) = 8.73

CIF file:
```
data_Pm4SiBi2
_space_group_name_H-M_alt 'I 4/m m m'
_space_group_IT_number 139
_space_group_name_Hall '-I 4 2'
_cell_length_a 5.377
_cell_length_b 5.377
_cell_length_c 16.605
_cell_angle_alpha 90.00
_cell_angle_beta 90.00
_cell_angle_gamma 90.00
loop_
_atom_site_label
_atom_site_fract_x
_atom_site_fract_y
_atom_site_fract_z
Pm1 0.000 0.000 0.169
Pm2 0.000 0.500 0.000
Si1 0.000 0.000 0.000
Bi1 0.000 0.000 0.364
```

***

--- ii ---
## Pm4SiBi2 (GGA-PBE)

Data for an optimized crystal structure of Pm4SiBi2.

Properties
- N(E_F) (states/eV/cell) = 13.53

CIF file:
```
data_Pm4SiBi2
_space_group_name_H-M_alt 'P 1 21/m 1'
_space_group_IT_number 11
_cell_length_a 6.963
_cell_length_b 6.598
_cell_length_c 10.040
_cell_angle_alpha 90.00
_cell_angle_beta 109.56
_cell_angle_gamma 90.00
loop_
_space_group_symop_operation_xyz
'x,y,z'
'-x,-y,-z'
'-x,y+1/2,-z'
'x,-y+1/2,z'
loop_
_atom_site_label
_atom_site_fract_x
_atom_site_fract_y
_atom_site_fract_z
Pm1 0.013 0.001 0.259
Pm2 0.399 0.750 0.066
Pm3 0.450 0.750 0.640
Si1 0.363 0.750 0.340
Bi1 0.203 0.250 0.042
Bi2 0.217 0.250 0.559
```

***

Stability verdict: ii, ahead by 0.033 eV/atom

***

--- i ---
## PmSm2Bi (GGA-PBE)

Data for an optimized crystal structure of PmSm2Bi.

Properties
- N(E_F) (states/eV/cell) = 13.65

CIF file:
```
data_PmSm2Bi
_space_group_name_H-M_alt 'R -3 m'
_space_group_IT_number 166
_space_group_name_Hall '-R 3 2"'
_cell_length_a 4.0813
_cell_length_b 4.0813
_cell_length_c 29.6845
_cell_angle_alpha 90.00
_cell_angle_beta 90.00
_cell_angle_gamma 120.00
loop_
_atom_site_label
_atom_site_fract_x
_atom_site_fract_y
_atom_site_fract_z
Pm1 0.0000 0.0000 0.0000
Sm1 0.0000 0.0000 0.2362
Bi1 0.0000 0.0000 0.5000
```

***

--- ii ---
## PmSm2Bi (GGA-PBE)

Data for an optimized crystal structure of PmSm2Bi.

Properties
- N(E_F) (states/eV/cell) = 14.63

CIF file:
```
data_PmSm2Bi
_space_group_name_H-M_alt 'R 3 m'
_space_group_IT_number 160
_space_group_name_Hall 'R 3 -2"'
_cell_length_a 4.1252
_cell_length_b 4.1252
_cell_length_c 29.1573
_cell_angle_alpha 90.00
_cell_angle_beta 90.00
_cell_angle_gamma 120.00
loop_
_atom_site_label
_atom_site_fract_x
_atom_site_fract_y
_atom_site_fract_z
Pm1 0.0000 0.0000 0.0000
Sm1 0.0000 0.0000 0.2369
Sm2 0.0000 0.0000 0.4301
Bi1 0.0000 0.0000 0.8337
```

***

Stability verdict: ii, ahead by 0.023 eV/atom

***

--- i ---
## PmSm2Bi (GGA-PBE)

Data for an optimized crystal structure of PmSm2Bi.

Properties
- N(E_F) (states/eV/cell) = 19.67

CIF file:
```
data_PmSm2Bi
_space_group_name_H-M_alt 'C m c m'
_space_group_IT_number 63
_space_group_name_Hall '-C 2c 2'
_cell_length_a 4.702
_cell_length_b 23.625
_cell_length_c 4.666
_cell_angle_alpha 90.00
_cell_angle_beta 90.00
_cell_angle_gamma 90.00
loop_
_atom_site_label
_atom_site_fract_x
_atom_site_fract_y
_atom_site_fract_z
Pm1 0.000 0.194 0.250
Sm1 0.000 0.063 0.750
Sm2 0.000 0.441 0.750
Bi1 0.000 0.332 0.250
```

***

--- ii ---
## PmSm2Bi (GGA-PBE)

Data for an optimized crystal structure of PmSm2Bi.

Properties
- N(E_F) (states/eV/cell) = 4.01

CIF file:
```
data_PmSm2Bi
_space_group_name_H-M_alt 'P 4/m m m'
_space_group_IT_number 123
_space_group_name_Hall '-P 4 2'
_cell_length_a 4.958
_cell_length_b 4.958
_cell_length_c 4.952
_cell_angle_alpha 90.00
_cell_angle_beta 90.00
_cell_angle_gamma 90.00
loop_
_atom_site_label
_atom_site_fract_x
_atom_site_fract_y
_atom_site_fract_z
Pm1 0.000 0.000 0.000
Sm1 0.000 0.500 0.500
Bi1 0.500 0.500 0.000
```

***

Stability verdict: i, ahead by 0.037 eV/atom

***

--- i ---
## PmSm3Bi3 (GGA-PBE)

Data for an optimized crystal structure of PmSm3Bi3.

Properties
- N(E_F) (states/eV/cell) = 27.40

CIF file:
```
data_PmSm3Bi3
_space_group_name_H-M_alt 'R -3'
_space_group_IT_number 148
_space_group_name_Hall '-R 3'
_cell_length_a 9.3557
_cell_length_b 9.3557
_cell_length_c 19.1542
_cell_angle_alpha 90.00
_cell_angle_beta 90.00
_cell_angle_gamma 120.00
loop_
_atom_site_label
_atom_site_fract_x
_atom_site_fract_y
_atom_site_fract_z
Pm1 0.0000 0.0000 0.1666
Sm1 0.0026 0.7391 0.5841
Bi1 0.0029 0.6157 0.4176
```

***

--- ii ---
## PmSm3Bi3 (GGA-PBE)

Data for an optimized crystal structure of PmSm3Bi3.

Properties
- N(E_F) (states/eV/cell) = 31.68

CIF file:
```
data_PmSm3Bi3
_space_group_name_H-M_alt 'P 21 3'
_space_group_IT_number 198
_space_group_name_Hall 'P 2ac 2ab 3'
_cell_length_a 9.595
_cell_length_b 9.595
_cell_length_c 9.595
_cell_angle_alpha 90.00
_cell_angle_beta 90.00
_cell_angle_gamma 90.00
loop_
_atom_site_label
_atom_site_fract_x
_atom_site_fract_y
_atom_site_fract_z
Pm1 0.071 0.429 0.571
Sm1 0.072 0.572 0.928
Sm2 0.179 0.179 0.179
Sm3 0.179 0.821 0.321
Bi1 0.000 0.251 0.876
```

***

Stability verdict: ii, ahead by 0.095 eV/atom

***

--- i ---
## PmSmBiTe (GGA-PBE)

Data for an optimized crystal structure of PmSmBiTe.

Properties
- N(E_F) (states/eV/cell) = 5.40

CIF file:
```
data_PmSmBiTe
_space_group_name_H-M_alt 'R 3 m'
_space_group_IT_number 160
_space_group_name_Hall 'R 3 -2"'
_cell_length_a 4.5242
_cell_length_b 4.5242
_cell_length_c 22.0313
_cell_angle_alpha 90.00
_cell_angle_beta 90.00
_cell_angle_gamma 120.00
loop_
_atom_site_label
_atom_site_fract_x
_atom_site_fract_y
_atom_site_fract_z
Pm1 0.0000 0.0000 0.0000
Sm1 0.0000 0.0000 0.4994
Bi1 0.0000 0.0000 0.7502
Te1 0.0000 0.0000 0.2491
```

***

--- ii ---
## PmSmBiTe (GGA-PBE)

Data for an optimized crystal structure of PmSmBiTe.

Properties
- N(E_F) (states/eV/cell) = 16.56

CIF file:
```
data_PmSmBiTe
_space_group_name_H-M_alt 'F -4 3 m'
_space_group_IT_number 216
_space_group_name_Hall 'F -4 2 3'
_cell_length_a 7.819
_cell_length_b 7.819
_cell_length_c 7.819
_cell_angle_alpha 90.00
_cell_angle_beta 90.00
_cell_angle_gamma 90.00
loop_
_atom_site_label
_atom_site_fract_x
_atom_site_fract_y
_atom_site_fract_z
Pm1 0.000 0.000 0.000
Sm1 0.000 0.000 0.500
Bi1 0.250 0.250 0.750
Te1 0.250 0.250 0.250
```

***

Stability verdict: i, ahead by 0.217 eV/atom

***

--- i ---
## PmSnBi2 (GGA-PBE)

Data for an optimized crystal structure of PmSnBi2.

Properties
- N(E_F) (states/eV/cell) = 11.57

CIF file:
```
data_PmSnBi2
_space_group_name_H-M_alt 'R -3 m'
_space_group_IT_number 166
_space_group_name_Hall '-R 3 2"'
_cell_length_a 4.8922
_cell_length_b 4.8922
_cell_length_c 26.4543
_cell_angle_alpha 90.00
_cell_angle_beta 90.00
_cell_angle_gamma 120.00
loop_
_atom_site_label
_atom_site_fract_x
_atom_site_fract_y
_atom_site_fract_z
Pm1 0.0000 0.0000 0.0000
Sn1 0.0000 0.0000 0.5000
Bi1 0.0000 0.0000 0.3915
```

***

--- ii ---
## PmSnBi2 (GGA-PBE)

Data for an optimized crystal structure of PmSnBi2.

Properties
- N(E_F) (states/eV/cell) = 2.16

CIF file:
```
data_PmSnBi2
_space_group_name_H-M_alt 'P 4/m m m'
_space_group_IT_number 123
_space_group_name_Hall '-P 4 2'
_cell_length_a 5.000
_cell_length_b 5.000
_cell_length_c 4.774
_cell_angle_alpha 90.00
_cell_angle_beta 90.00
_cell_angle_gamma 90.00
loop_
_atom_site_label
_atom_site_fract_x
_atom_site_fract_y
_atom_site_fract_z
Pm1 0.000 0.000 0.000
Sn1 0.500 0.500 0.000
Bi1 0.000 0.500 0.500
```

***

Stability verdict: ii, ahead by 0.567 eV/atom

***

--- i ---
## Pm2Sn4Bi (GGA-PBE)

Data for an optimized crystal structure of Pm2Sn4Bi.

Properties
- N(E_F) (states/eV/cell) = 4.34

CIF file:
```
data_Pm2Sn4Bi
_space_group_name_H-M_alt 'P -4 m 2'
_space_group_IT_number 115
_cell_length_a 4.490
_cell_length_b 4.490
_cell_length_c 10.387
_cell_angle_alpha 90.00
_cell_angle_beta 90.00
_cell_angle_gamma 90.00
loop_
_space_group_symop_operation_xyz
'x,y,z'
'y,-x,-z'
'-x,-y,z'
'-y,x,-z'
'-x,y,z'
'-y,-x,-z'
'x,-y,z'
'y,x,-z'
loop_
_atom_site_label
_atom_site_fract_x
_atom_site_fract_y
_atom_site_fract_z
Pm1 0.000 0.500 0.243
Sn1 0.000 0.000 0.000
Sn2 0.000 0.500 0.718
Sn3 0.500 0.500 0.000
Bi1 0.000 0.000 0.500
```

***

--- ii ---
## Pm2Sn4Bi (GGA-PBE)

Data for an optimized crystal structure of Pm2Sn4Bi.

Properties
- N(E_F) (states/eV/cell) = 10.50

CIF file:
```
data_Pm2Sn4Bi
_space_group_name_H-M_alt 'C 1 2/m 1'
_space_group_IT_number 12
_cell_length_a 9.444
_cell_length_b 9.477
_cell_length_c 6.679
_cell_angle_alpha 90.00
_cell_angle_beta 134.82
_cell_angle_gamma 90.00
loop_
_space_group_symop_operation_xyz
'x,y,z'
'-x,-y,-z'
'-x,y,-z'
'x,-y,z'
'x+1/2,y+1/2,z'
'-x+1/2,-y+1/2,-z'
'-x+1/2,y+1/2,-z'
'x+1/2,-y+1/2,z'
loop_
_atom_site_label
_atom_site_fract_x
_atom_site_fract_y
_atom_site_fract_z
Pm1 0.250 0.250 0.000
Sn1 0.000 0.000 0.500
Sn2 0.000 0.500 0.500
Sn3 0.250 0.250 0.500
Bi1 0.000 0.000 0.000
```

***

Stability verdict: i, ahead by 0.009 eV/atom